VASP calculation (PBE) on crystalline Hf2GaB at its relaxed geometry. Values from VASP.

Summary:
V   141.3 Å³/cell
E   -7.86 eV per atom
SG   P6_3/mmc (194)

Quantum ESPRESSO input file:
```
&SYSTEM
  ibrav = 0, nat = 8, ntyp = 3
/
ATOMIC_SPECIES
Hf 178.49 Hf.upf
Ga 69.72 Ga.upf
B 10.81 B.upf
ATOMIC_POSITIONS crystal
Hf 0.3333 0.6667 0.0914
Hf 0.3333 0.6667 0.4086
Hf 0.6667 0.3333 0.5914
Hf 0.6667 0.3333 0.9086
Ga 0.3333 0.6667 0.7500
Ga 0.6667 0.3333 0.2500
B 0.0000 0.0000 0.0000
B 0.0000 0.0000 0.5000
CELL_PARAMETERS angstrom
3.3815 0.0000 0.0000
-1.6908 2.9285 0.0000
0.0000 0.0000 14.2639
```

---

VASP calculation (PBE) on crystalline LuZnInS3 at its relaxed geometry. Values from VASP.

Summary:
V   283.7 Å³/cell
Relative energy among the computed polymorphs   0.000 eV/atom
SG   Cmcm (63)

Quantum ESPRESSO input file:
```
&SYSTEM
  ibrav = 0, nat = 12, ntyp = 4
/
ATOMIC_SPECIES
Lu 174.97 Lu.upf
Zn 65.41 Zn.upf
In 114.82 In.upf
S 32.06 S.upf
ATOMIC_POSITIONS crystal
Lu 0.0000 0.0000 0.0000
Lu 0.0000 0.0000 0.5000
Zn 0.4588 0.5412 0.7500
Zn 0.5412 0.4588 0.2500
In 0.2548 0.7452 0.2500
In 0.7452 0.2548 0.7500
S 0.0608 0.9392 0.7500
S 0.3749 0.6251 0.5576
S 0.3749 0.6251 0.9424
S 0.6251 0.3749 0.0576
S 0.6251 0.3749 0.4424
S 0.9392 0.0608 0.2500
CELL_PARAMETERS angstrom
1.9465 -7.0517 0.0000
1.9465 7.0517 0.0000
0.0000 0.0000 10.3353
```

---

VASP calculation (PBE) on crystalline HfCdNi2 at its relaxed geometry. Values from VASP.

Summary:
V   247.7 Å³/cell
Formation enthalpy at 0 K   0.0248 eV per atom
SG   F-43m (216)

Quantum ESPRESSO input file:
```
&SYSTEM
  ibrav = 0, nat = 16, ntyp = 3
/
ATOMIC_SPECIES
Hf 178.49 Hf.upf
Cd 112.41 Cd.upf
Ni 58.69 Ni.upf
ATOMIC_POSITIONS crystal
Hf 0.0000 0.0000 0.0000
Hf 0.0000 0.5000 0.5000
Hf 0.5000 0.0000 0.5000
Hf 0.5000 0.5000 0.0000
Cd 0.2500 0.2500 0.7500
Cd 0.2500 0.7500 0.2500
Cd 0.7500 0.2500 0.2500
Cd 0.7500 0.7500 0.7500
Ni 0.0000 0.0000 0.5000
Ni 0.0000 0.5000 0.0000
Ni 0.2500 0.2500 0.2500
Ni 0.2500 0.7500 0.7500
Ni 0.5000 0.0000 0.0000
Ni 0.5000 0.5000 0.5000
Ni 0.7500 0.2500 0.7500
Ni 0.7500 0.7500 0.2500
CELL_PARAMETERS angstrom
6.2801 0.0000 0.0000
0.0000 6.2801 0.0000
0.0000 0.0000 6.2801
```

---

VASP calculation (PBE) on crystalline SrReGe at its relaxed geometry. Values from VASP.

Summary:
V   348.0 Å³/cell
Relative energy among the computed polymorphs   0.976 eV/atom
SG   F-43m (216)

Quantum ESPRESSO input file:
```
&SYSTEM
  ibrav = 0, nat = 12, ntyp = 3
/
ATOMIC_SPECIES
Sr 87.62 Sr.upf
Re 186.21 Re.upf
Ge 72.64 Ge.upf
ATOMIC_POSITIONS crystal
Sr 0.0000 0.0000 0.0000
Sr 0.0000 0.5000 0.5000
Sr 0.5000 0.0000 0.5000
Sr 0.5000 0.5000 0.0000
Re 0.2500 0.2500 0.2500
Re 0.2500 0.7500 0.7500
Re 0.7500 0.2500 0.7500
Re 0.7500 0.7500 0.2500
Ge 0.2500 0.2500 0.7500
Ge 0.2500 0.7500 0.2500
Ge 0.7500 0.2500 0.2500
Ge 0.7500 0.7500 0.7500
CELL_PARAMETERS angstrom
7.0339 0.0000 0.0000
0.0000 7.0339 0.0000
0.0000 0.0000 7.0339
```

---

VASP calculation (PBE) on crystalline HfPaNO at its relaxed geometry. Values from VASP.

Summary:
V   266.1 Å³/cell
Relative energy among the computed polymorphs   0.125 eV/atom
SG   Pca2_1 (29)

Quantum ESPRESSO input file:
```
&SYSTEM
  ibrav = 0, nat = 16, ntyp = 4
/
ATOMIC_SPECIES
Hf 178.49 Hf.upf
Pa 231.04 Pa.upf
N 14.01 N.upf
O 16.00 O.upf
ATOMIC_POSITIONS crystal
Hf 0.1091 0.1474 0.0000
Hf 0.3909 0.1474 0.5000
Hf 0.6091 0.8526 0.0000
Hf 0.8909 0.8526 0.5000
Pa 0.0579 0.6315 0.9941
Pa 0.4421 0.6315 0.4941
Pa 0.5579 0.3685 0.9941
Pa 0.9421 0.3685 0.4941
N 0.0869 0.6492 0.4881
N 0.4131 0.6492 0.9881
N 0.5869 0.3508 0.4881
N 0.9131 0.3508 0.9881
O 0.0863 0.0596 0.6131
O 0.4137 0.0596 0.1131
O 0.5863 0.9404 0.6131
O 0.9137 0.9404 0.1131
CELL_PARAMETERS angstrom
6.5650 0.0000 0.0000
0.0000 7.6933 0.0000
0.0000 0.0000 5.2695
```

---

VASP calculation (PBE) on crystalline HoUW at its relaxed geometry. Values from VASP.

Summary:
V   291.5 Å³/cell
Relative energy among the computed polymorphs   0.000 eV/atom
Formation enthalpy at 0 K   1.4484 eV per atom
SG   F-43m (216)

Quantum ESPRESSO input file:
```
&SYSTEM
  ibrav = 0, nat = 12, ntyp = 3
/
ATOMIC_SPECIES
Ho 164.93 Ho.upf
U 238.03 U.upf
W 183.84 W.upf
ATOMIC_POSITIONS crystal
Ho 0.0000 0.0000 0.0000
Ho 0.0000 0.5000 0.5000
Ho 0.5000 0.0000 0.5000
Ho 0.5000 0.5000 0.0000
U 0.2500 0.2500 0.7500
U 0.2500 0.7500 0.2500
U 0.7500 0.2500 0.2500
U 0.7500 0.7500 0.7500
W 0.0000 0.0000 0.5000
W 0.0000 0.5000 0.0000
W 0.5000 0.0000 0.0000
W 0.5000 0.5000 0.5000
CELL_PARAMETERS angstrom
6.6306 0.0000 0.0000
0.0000 6.6306 0.0000
0.0000 0.0000 6.6306
```

---

VASP calculation (PBE) on crystalline BaAcHo at its relaxed geometry. Values from VASP.

Summary:
V   620.4 Å³/cell
Relative energy among the computed polymorphs   0.000 eV/atom
SG   F-43m (216)

Quantum ESPRESSO input file:
```
&SYSTEM
  ibrav = 0, nat = 12, ntyp = 3
/
ATOMIC_SPECIES
Ba 137.33 Ba.upf
Ac 227.00 Ac.upf
Ho 164.93 Ho.upf
ATOMIC_POSITIONS crystal
Ba 0.0000 0.0000 0.0000
Ba 0.0000 0.5000 0.5000
Ba 0.5000 0.0000 0.5000
Ba 0.5000 0.5000 0.0000
Ac 0.0000 0.0000 0.5000
Ac 0.0000 0.5000 0.0000
Ac 0.5000 0.0000 0.0000
Ac 0.5000 0.5000 0.5000
Ho 0.2500 0.2500 0.7500
Ho 0.2500 0.7500 0.2500
Ho 0.7500 0.2500 0.2500
Ho 0.7500 0.7500 0.7500
CELL_PARAMETERS angstrom
8.5288 0.0000 0.0000
0.0000 8.5288 0.0000
0.0000 0.0000 8.5288
```

---

VASP calculation (PBE) on crystalline ZnF2 at its relaxed geometry. Values from VASP.

Summary:
V   100.2 Å³/cell
E   -3.88 eV per atom
SG   R-3m (166)

Quantum ESPRESSO input file:
```
&SYSTEM
  ibrav = 0, nat = 9, ntyp = 2
/
ATOMIC_SPECIES
Zn 65.41 Zn.upf
F 19.00 F.upf
ATOMIC_POSITIONS crystal
Zn 0.0000 0.0000 0.0000
Zn 0.3333 0.6667 0.6667
Zn 0.6667 0.3333 0.3333
F 0.0000 0.0000 0.2515
F 0.0000 0.0000 0.7485
F 0.3333 0.6667 0.4152
F 0.3333 0.6667 0.9182
F 0.6667 0.3333 0.0818
F 0.6667 0.3333 0.5848
CELL_PARAMETERS angstrom
3.1210 0.0000 0.0000
-1.5605 2.7028 0.0000
0.0000 0.0000 11.8736
```

---

V of number 5 (HfPaNO)?
266.1 Å³/cell